Record 1
Compound: TbPm2HoTh
Source: Alexandria
Functional: PBE
Structure: optimized geometry

a b c (Å): 8.4998 6.3923 6.3695
angles (deg): 90.00 93.11 90.00
Sites, in units of the cell vectors:
1 Tb 0.0000 0.0000 0.0000
2 Tb 0.0000 0.0000 0.5000
3 Pm 0.3105 0.2947 0.2332
4 Pm 0.3105 0.7053 0.7332
5 Pm 0.6895 0.2947 0.2668
6 Pm 0.6895 0.7053 0.7668
7 Ho 0.5000 0.1842 0.7500
8 Ho 0.5000 0.8158 0.2500
9 Th 0.0000 0.4458 0.7500
10 Th 0.0000 0.5542 0.2500

Computed properties:
space-group type = P2/c (13)
DOS(E_F) = 1.387 states/eV per atom
energy of formation from the pure elements = 0.313 eV/atom
E_tot = -4.9133 eV per atom

=====

Record 2
Compound: Ba2WCl2
Source: Alexandria
Functional: PBE
Structure: optimized geometry

a b c (Å): 5.6979 5.6979 14.4727
angles (deg): 90.00 90.00 90.00
Sites, in units of the cell vectors:
1 Ba 0.0000 0.0000 0.0000
2 Ba 0.0000 0.0000 0.5000
3 W 0.5000 0.5000 0.0000
4 Cl 0.0000 0.5000 0.5000
5 Cl 0.5000 0.0000 0.5000

Computed properties:
space-group type = P4/mmm (123)
E_form (uncorrected) = 0.1485 eV/atom
DOS(E_F) = 0.482 states/eV per atom
E_tot = -3.9499 eV per atom

=====

Record 3
Compound: Pd2Se3
Source: Alexandria
Functional: PBE
Structure: optimized geometry

a b c (Å): 6.2792 6.2792 6.1642
angles (deg): 105.09 105.09 104.07
Sites, in units of the cell vectors:
1 Pd 0.0000 0.5000 0.5000
2 Pd 0.1438 0.8562 0.0000
3 Pd 0.5000 0.0000 0.5000
4 Pd 0.8562 0.1438 0.0000
5 Se 0.1219 0.1219 0.4169
6 Se 0.2038 0.5548 0.2053
7 Se 0.4452 0.7962 0.7947
8 Se 0.5548 0.2038 0.2053
9 Se 0.7962 0.4452 0.7947
10 Se 0.8781 0.8781 0.5831

Computed properties:
space-group type = C2/m (12)
E_form (uncorrected) = -0.1277 eV/atom
DOS(E_F) = 0.602 states/eV per atom
E_tot = -4.2955 eV per atom

=====

Record 4
Compound: MgRh2Se
Source: Alexandria
Functional: PBE
Structure: optimized geometry

a b c (Å): 4.8559 4.8559 4.8559
angles (deg): 134.75 128.55 70.91
Sites, in units of the cell vectors:
1 Mg 0.0000 0.0000 0.0000
2 Rh 0.2785 0.7785 0.5000
3 Rh 0.7215 0.2215 0.5000
4 Se 0.5000 0.5000 0.0000

Computed properties:
space-group type = Immm (71)
E_form (uncorrected) = -0.2366 eV/atom
DOS(E_F) = 0.617 states/eV per atom
E_tot = -5.1821 eV per atom

=====

Record 5
Compound: NdEr4Ir5
Source: Alexandria
Functional: PBE
Structure: optimized geometry

a b c (Å): 3.4766 3.4766 16.6660
angles (deg): 90.00 90.00 90.00
Sites, in units of the cell vectors:
1 Nd 0.0000 0.0000 0.0000
2 Er 0.0000 0.0000 0.2049
3 Er 0.0000 0.0000 0.4017
4 Er 0.0000 0.0000 0.5983
5 Er 0.0000 0.0000 0.7951
6 Ir 0.5000 0.5000 0.1091
7 Ir 0.5000 0.5000 0.3037
8 Ir 0.5000 0.5000 0.5000
9 Ir 0.5000 0.5000 0.6963
10 Ir 0.5000 0.5000 0.8909

Computed properties:
space-group type = P4/mmm (123)
DOS(E_F) = 0.895 states/eV per atom
energy of formation from the pure elements = -0.789 eV/atom
E_tot = -7.5218 eV per atom

=====

Record 6
Compound: Li2ErHf2Se6
Source: Alexandria
Functional: PBE
Structure: optimized geometry

a b c (Å): 6.6799 6.6799 6.9206
angles (deg): 99.17 99.17 120.35
Sites, in units of the cell vectors:
1 Li 0.1637 0.8363 0.0000
2 Li 0.8363 0.1637 0.0000
3 Er 0.0000 0.0000 0.5000
4 Hf 0.3339 0.6661 0.5000
5 Hf 0.6661 0.3339 0.5000
6 Se 0.0800 0.4281 0.7453
7 Se 0.2660 0.2660 0.2533
8 Se 0.4281 0.0800 0.7453
9 Se 0.5719 0.9200 0.2547
10 Se 0.7340 0.7340 0.7467
11 Se 0.9200 0.5719 0.2547

Computed properties:
space-group type = C2/m (12)
E_form (uncorrected) = -1.4399 eV/atom
DOS(E_F) = 0.330 states/eV per atom
E_tot = -5.9131 eV per atom

=====

Record 7
Compound: NaCeGa2Au2
Source: Alexandria
Functional: PBE
Structure: optimized geometry

a b c (Å): 4.6008 4.6008 6.9411
angles (deg): 90.00 90.00 120.00
Sites, in units of the cell vectors:
1 Na 0.0000 0.0000 0.0000
2 Ce 0.0000 0.0000 0.5000
3 Ga 0.3333 0.6667 0.2312
4 Ga 0.6667 0.3333 0.7688
5 Au 0.3333 0.6667 0.7563
6 Au 0.6667 0.3333 0.2437

Computed properties:
space-group type = P-3m1 (164)
DOS(E_F) = 1.318 states/eV per atom
energy of formation from the pure elements = -0.487 eV/atom
E_tot = -3.7970 eV per atom